# 1
Compound: CsNaIn3
Source: Alexandria
Functional: SCAN
Structure: single point on PBEsol structure Values from VASP.

```
&SYSTEM
  ibrav = 0, nat = 5, ntyp = 3
/
ATOMIC_SPECIES
Cs 132.91 Cs.upf
Na 22.99 Na.upf
In 114.82 In.upf
CELL_PARAMETERS angstrom
-3.6299 4.4085 0.0682
-1.1866 -1.0619 5.4845
4.2463 3.4718 1.5908
ATOMIC_POSITIONS angstrom
Cs -0.2851 3.4092 3.5718
Na 0.0000 0.0000 0.0000
In -0.5933 -0.5309 2.7423
In 2.1232 1.7359 0.7954
In -1.8149 2.2042 0.0341
```

Values from the calculation:
The volume comes out at 186.27 Å³/f.u. The total energy is -28.2236 eV per atom. The formation energy is 0.213 eV per atom. As for the energy above the lowest structure with this stoichiometry: 0.000 eV/atom.

# 2
Compound: CrTc3Os
Source: Alexandria
Functional: SCAN
Structure: single point on PBEsol structure Values from VASP.

```
&SYSTEM
  ibrav = 0, nat = 5, ntyp = 3
/
ATOMIC_SPECIES
Cr 52.00 Cr.upf
Os 190.23 Os.upf
Tc 98.00 Tc.upf
CELL_PARAMETERS angstrom
4.2605 0.0000 0.0000
0.0000 4.2605 0.0000
0.0000 0.0000 4.2605
ATOMIC_POSITIONS angstrom
Cr 0.0000 0.0000 0.0000
Os 2.1302 2.1302 2.1302
Tc 0.0000 2.1302 0.0000
Tc 0.0000 0.0000 2.1302
Tc 2.1302 0.0000 0.0000
```

Values from the calculation:
The volume comes out at 77.33 Å³/f.u. The total energy is -37.5792 eV per atom. The formation energy is 1.510 eV per atom.

# 3
Compound: KCo3
Source: Alexandria
Functional: SCAN
Structure: single point on PBEsol structure Values from VASP.

```
&SYSTEM
  ibrav = 0, nat = 4, ntyp = 2
/
ATOMIC_SPECIES
Co 58.93 Co.upf
K 39.10 K.upf
CELL_PARAMETERS angstrom
-0.5605 0.1788 2.5364
-0.7305 -3.2560 0.0681
7.0922 -1.5561 1.6768
ATOMIC_POSITIONS angstrom
Co 3.9790 -2.5533 2.3956
Co 3.5461 -0.7780 0.8384
Co 1.8222 -2.0801 1.8857
K 0.0000 0.0000 0.0000
```

Values from the calculation:
The volume comes out at 64.76 Å³/f.u. The total energy is -14.3710 eV per atom. The formation energy is 0.689 eV per atom. As for the energy above the lowest structure with this stoichiometry: 0.000 eV/atom.

# 4
Compound: CrRu2Cl
Source: Alexandria
Functional: SCAN
Structure: single point on PBEsol structure Values from VASP.

```
&SYSTEM
  ibrav = 0, nat = 4, ntyp = 3
/
ATOMIC_SPECIES
Ru 101.07 Ru.upf
Cl 35.45 Cl.upf
Cr 52.00 Cr.upf
CELL_PARAMETERS angstrom
-2.2951 0.7363 1.3319
0.2422 -2.5794 -1.0036
3.4086 -2.5036 7.2574
ATOMIC_POSITIONS angstrom
Ru 3.3783 -2.4814 7.1930
Ru -0.3111 -0.2462 2.4468
Cl 1.7742 -1.3032 3.7776
Cr 1.3849 -1.4919 6.0579
```

Values from the calculation:
The volume comes out at 55.82 Å³/f.u. The total energy is -23.4774 eV per atom. As for the energy above the lowest structure with this stoichiometry: 0.144 eV/atom. The value obtained for the raw formation energy is 0.53 eV per atom.

# 5
Compound: OsPb
Source: Alexandria
Functional: SCAN
Structure: single point on PBEsol structure Values from VASP.

```
&SYSTEM
  ibrav = 0, nat = 4, ntyp = 2
/
ATOMIC_SPECIES
Os 190.23 Os.upf
Pb 207.20 Pb.upf
CELL_PARAMETERS angstrom
2.9978 0.0000 0.0000
0.0000 4.7525 0.0000
-1.4989 -2.3763 5.5940
ATOMIC_POSITIONS angstrom
Os 0.0000 3.5644 1.7738
Os 1.4989 -1.1881 3.8202
Pb 1.4989 1.1881 1.0934
Pb 0.0000 1.1881 4.5006
```

Values from the calculation:
The volume comes out at 39.85 Å³/f.u. The total energy is -72.7572 eV per atom. The formation energy is 1.073 eV per atom.

# 6
Compound: ScTa3I
Source: Alexandria
Functional: SCAN
Structure: single point on PBEsol structure Values from VASP.

```
&SYSTEM
  ibrav = 0, nat = 5, ntyp = 3
/
ATOMIC_SPECIES
I 126.90 I.upf
Sc 44.96 Sc.upf
Ta 180.95 Ta.upf
CELL_PARAMETERS angstrom
-1.0081 -2.4607 4.1663
-3.1932 -2.8592 -2.4613
3.6355 -3.1937 -1.0066
ATOMIC_POSITIONS angstrom
I 0.0000 0.0000 0.0000
Sc -0.2829 -4.2568 0.3492
Ta -1.5966 -1.4296 -1.2307
Ta 1.8177 -1.5969 -0.5033
Ta -0.5041 -1.2303 2.0832
```

Values from the calculation:
The volume comes out at 120.75 Å³/f.u. The total energy is -48.3735 eV per atom. The value obtained for the raw formation energy is 1.77 eV per atom.

# 7
Compound: ZrIr2Pb
Source: Alexandria
Functional: SCAN
Structure: single point on PBEsol structure Values from VASP.

```
&SYSTEM
  ibrav = 0, nat = 4, ntyp = 3
/
ATOMIC_SPECIES
Ir 192.22 Ir.upf
Pb 207.20 Pb.upf
Zr 91.22 Zr.upf
CELL_PARAMETERS angstrom
3.9996 0.0000 0.0000
0.0000 3.9996 0.0000
-1.9998 -1.9998 4.3738
ATOMIC_POSITIONS angstrom
Ir 0.0000 0.0000 0.0000
Ir 0.0000 1.9998 2.1869
Pb 1.9998 1.9998 0.0000
Zr 1.9998 0.0000 2.1869
```

Values from the calculation:
The volume comes out at 69.97 Å³/f.u. The total energy is -62.3914 eV per atom. The formation energy is -0.222 eV per atom.

# 8
Compound: B2RuCl
Source: Alexandria
Functional: SCAN
Structure: single point on PBEsol structure Values from VASP.

```
&SYSTEM
  ibrav = 0, nat = 8, ntyp = 3
/
ATOMIC_SPECIES
Ru 101.07 Ru.upf
B 10.81 B.upf
Cl 35.45 Cl.upf
CELL_PARAMETERS angstrom
4.9846 0.0000 0.0000
0.0000 4.9846 0.0000
-2.4923 -2.4923 4.6536
ATOMIC_POSITIONS angstrom
Ru 0.0000 2.4923 2.3268
Ru 0.0000 0.0000 0.0000
B 0.9961 3.7385 1.1634
B 3.9885 1.2462 1.1634
B -1.2462 -1.4962 3.4902
B 1.2462 1.4962 3.4902
Cl 2.4923 0.0000 2.3268
Cl 2.4923 2.4923 0.0000
```

Values from the calculation:
The volume comes out at 57.81 Å³/f.u. The total energy is -13.6583 eV per atom. The value obtained for the raw formation energy is 0.76 eV per atom.

Which of these has the highest total energy? B2RuCl